The following is a PBE calculation of a relaxed structure of AcLa6TbY2, from Alexandria via LeMat-Bulk.

a b c (Å): 9.907 9.125 9.125
angles (deg): 116.45 93.40 93.40
Positions (direct):
Ac  0.250  0.968  0.032
Ac  0.750  0.032  0.968
La  0.055  0.111  0.755
La  0.445  0.245  0.889
La  0.945  0.889  0.245
La  0.555  0.755  0.111
La  0.315  0.998  0.450
La  0.185  0.550  0.002
La  0.685  0.002  0.550
La  0.815  0.450  0.998
La  0.121  0.704  0.481
La  0.379  0.519  0.296
La  0.879  0.296  0.519
La  0.621  0.481  0.704
Tb  0.250  0.411  0.589
Tb  0.750  0.589  0.411
Y  0.451  0.793  0.698
Y  0.049  0.302  0.207
Y  0.549  0.207  0.302
Y  0.951  0.698  0.793

Results
Calculated formation energy, eV per atom: 0.110
Space-group type: C2/c
V, Å³/cell: 733.9
Raw total energy, eV per atom: -5.013

The following is a PBE calculation of a relaxed structure of Ac2La3TbY6, from Alexandria via LeMat-Bulk.

a b c (Å): 6.409 6.409 12.028
angles (deg): 95.09 95.09 120.01
Positions (direct):
Ac  0.334  0.666  0.000
Ac  0.666  0.334  0.000
La  0.167  0.833  0.500
La  0.833  0.167  0.500
La  0.500  0.500  0.500
Tb  0.000  0.000  0.000
Y  0.916  0.586  0.748
Y  0.753  0.753  0.252
Y  0.084  0.414  0.252
Y  0.586  0.916  0.748
Y  0.247  0.247  0.748
Y  0.414  0.084  0.252

Results
Calculated formation energy, eV per atom: 0.022
Space-group type: C2/m
V, Å³/cell: 421.0
Raw total energy, eV per atom: -5.512

The following is a PBE calculation of a relaxed structure of AcLa5Tb2Y, from Alexandria via LeMat-Bulk.

a b c (Å): 9.488 9.488 10.030
angles (deg): 118.23 118.23 90.00
Positions (direct):
Ac  0.250  0.250  0.500
Ac  0.750  0.750  0.500
La  0.928  0.428  0.254
La  0.674  0.174  0.746
La  0.072  0.572  0.746
La  0.174  0.072  0.746
La  0.572  0.674  0.746
La  0.826  0.928  0.254
La  0.428  0.326  0.254
La  0.326  0.826  0.254
La  0.500  0.500  0.000
La  0.000  0.000  0.000
Tb  0.110  0.390  0.000
Tb  0.610  0.110  0.000
Tb  0.390  0.890  0.000
Tb  0.890  0.610  0.000
Y  0.250  0.750  0.500
Y  0.750  0.250  0.500

Results
Calculated formation energy, eV per atom: 0.261
Space-group type: I4/mcm
V, Å³/cell: 671.2
Raw total energy, eV per atom: -4.680

The following is a PBE calculation of a relaxed structure of AcLaTbY, from Alexandria via LeMat-Bulk.

a b c (Å): 3.739 3.739 10.430
angles (deg): 90.00 90.00 90.00
Positions (direct):
Ac  0.146  0.854  0.726
La  0.646  0.354  0.460
Tb  0.146  0.854  0.215
Y  0.646  0.354  0.987

Results
Calculated formation energy, eV per atom: 0.047
Space-group type: P4mm
Energy above the lowest structure with this stoichiometry, eV/atom: 0.000
V, Å³/cell: 145.9
Raw total energy, eV per atom: -4.986